First-principles (PBE) data for a geometry-optimized MgPb2Cl structure, as listed in the Alexandria database.

Results
The value obtained for the raw total energy is -2.9376 eV per atom. Its uncorrected formation energy is -223.2 meV per atom.

Cell and atoms, written as CIF:
```
data_MgPb2Cl
_chemical_formula_sum 'Mg4 Pb8 Cl4'
_symmetry_space_group_name_H-M 'F -4 3 m'
_symmetry_Int_Tables_number 216
_symmetry_space_group_name_Hall 'F -4 2 3'
_cell_length_a 7.5452
_cell_length_b 7.5452
_cell_length_c 7.5452
_cell_angle_alpha 90.00
_cell_angle_beta 90.00
_cell_angle_gamma 90.00
loop_
_atom_site_label
_atom_site_type_symbol
_atom_site_fract_x
_atom_site_fract_y
_atom_site_fract_z
Mg1 Mg 0.0000 0.0000 0.0000
Pb1 Pb 0.0000 0.0000 0.5000
Pb2 Pb 0.2500 0.2500 0.7500
Cl1 Cl 0.2500 0.2500 0.2500
```